La2AlAs | SCAN | single point on PBEsol structure

Output
Distance to the lowest polymorph of the same formula ... 147 meV per atom
Formation enthalpy at 0 K ... -602 meV per atom
SG ... No. 122

```
La2AlAs
1.0
8.287 0.000 0.000
0.000 8.287 0.000
0.000 0.000 6.434
La Al As
8 4 4
direct
0.229 0.750 0.125
0.250 0.229 0.875
0.250 0.271 0.375
0.271 0.750 0.625
0.729 0.250 0.625
0.750 0.729 0.375
0.750 0.771 0.875
0.771 0.250 0.125
0.000 0.000 0.500
0.000 0.500 0.750
0.500 0.000 0.250
0.500 0.500 0.000
0.000 0.000 0.000
0.000 0.500 0.250
0.500 0.000 0.750
0.500 0.500 0.500
```

=====

CuOsW2 | SCAN | single point on PBEsol structure

Output
Formation enthalpy at 0 K ... 305 meV per atom
SG ... No. 166

```
CuOsW2
1.0
2.740 0.000 0.000
-1.370 2.373 0.000
0.000 0.000 26.746
Cu Os W
3 3 6
direct
0.000 0.000 0.000
0.333 0.667 0.667
0.667 0.333 0.333
0.000 0.000 0.500
0.333 0.667 0.167
0.667 0.333 0.833
0.000 0.000 0.250
0.000 0.000 0.750
0.333 0.667 0.416
0.333 0.667 0.917
0.667 0.333 0.083
0.667 0.333 0.584
```

=====

TcPSO2 | SCAN | single point on PBEsol structure

Output
Raw formation energy ... -0.652 eV/atom
SG ... No. 123

```
TcPSO2
1.0
3.630 0.000 0.000
0.000 3.630 0.000
0.000 0.000 5.266
Tc P S O
1 1 1 2
direct
0.000 0.000 0.000
0.000 0.000 0.500
0.500 0.500 0.500
0.000 0.500 0.000
0.500 0.000 0.000
```

=====

MgSbTe2 | SCAN | single point on PBEsol structure

Output
Distance to the lowest polymorph of the same formula ... 0 meV per atom
Raw formation energy ... -0.430 eV/atom
SG ... No. 123

```
MgSbTe2
1.0
4.324 0.000 0.000
0.000 4.324 0.000
0.000 0.000 6.103
Mg Sb Te
1 1 2
direct
0.000 0.000 0.000
0.500 0.500 0.500
0.000 0.000 0.500
0.500 0.500 0.000
```